The following is a DFT calculation (PBE with a Hubbard U) of CdCoF after structural relaxation.

Cell lengths 3.026, 5.413, 6.522 Å; angles 85.67, 76.64, 73.93 degrees
Sites, in units of the cell vectors:
Cd 0.000 0.000 0.000
Cd 0.151 0.428 0.265
Co 0.392 0.860 0.354
Co 0.798 0.725 0.678
F 0.699 0.066 0.537
F 0.862 0.432 0.845

Values from the calculation:
As for the distance to the lowest polymorph of the same formula: 122 meV/atom. The calculation puts the total energy at -3.240 eV per atom.